[1]
Computed, not measured: a geometry-optimized Rb2MgAlGe2 structure at the PBE-GGA level of DFT.

Cell lengths 6.466, 6.432, 9.835 Å; angles 109.08, 109.19, 90.00 degrees
Element x y z (fractional)
Rb: 0.415 0.171 0.342
Rb: 0.585 0.829 0.658
Rb: 0.073 0.329 0.658
Rb: 0.927 0.671 0.342
Mg: 0.000 0.750 0.000
Mg: 0.000 0.250 0.000
Al: 0.500 0.750 0.000
Al: 0.500 0.250 0.000
Ge: 0.815 0.086 0.171
Ge: 0.356 0.586 0.171
Ge: 0.644 0.414 0.829
Ge: 0.185 0.914 0.829

Values from the calculation:
Formation energy, eV/atom: -0.162
Raw total energy, eV/atom: -2.91
Calculated volume, Å³/cell: 362
Mass density, g/cm³: 3.368
Magnetic moment, μB/atom: 0.00

---

[2]
Computed, not measured: a geometry-optimized Ce4ZnBi3 structure at the PBE-GGA level of DFT.

Cell lengths 5.588, 6.012, 7.814 Å; angles 109.33, 110.95, 90.00 degrees
Element x y z (fractional)
Ce: 0.120 0.679 0.241
Ce: 0.880 0.321 0.759
Ce: 0.772 0.638 0.544
Ce: 0.228 0.362 0.456
Zn: 0.000 0.000 0.000
Bi: 0.357 0.951 0.713
Bi: 0.643 0.049 0.287
Bi: 0.500 0.500 0.000

Values from the calculation:
Formation energy, eV/atom: -0.247
Raw total energy, eV/atom: -4.83
Calculated volume, Å³/cell: 229
Mass density, g/cm³: 9.076
Magnetic moment, μB/atom: 0.47

---

[3]
Computed, not measured: a geometry-optimized La2Ta structure at the PBE-GGA level of DFT.

Cell lengths 5.887, 5.887, 5.887 Å; angles 147.95, 130.08, 60.57 degrees
Element x y z (fractional)
La: 0.990 0.990 0.000
La: 0.677 0.677 0.000
Ta: 0.333 0.333 0.000

Values from the calculation:
Formation energy, eV/atom: 0.495
Raw total energy, eV/atom: -6.74
Calculated volume, Å³/cell: 82
Mass density, g/cm³: 9.278
Magnetic moment, μB/atom: 0.00
Energy relative to the lowest polymorph listed for this composition, eV/f.u.: 0.65

---

[4]
Computed, not measured: a geometry-optimized Nd6Hg5Ge structure at the PBE-GGA level of DFT.

Cell lengths 5.349, 7.632, 8.570 Å; angles 90.00, 71.88, 90.00 degrees
Element x y z (fractional)
Ge: 0.000 0.000 0.000
Nd: 0.841 0.755 0.318
Nd: 0.841 0.245 0.318
Nd: 0.500 0.234 0.000
Nd: 0.500 0.766 0.000
Nd: 0.159 0.755 0.682
Nd: 0.159 0.245 0.682
Hg: 0.670 0.500 0.660
Hg: 0.321 0.000 0.358
Hg: 0.000 0.500 0.000
Hg: 0.679 0.000 0.642
Hg: 0.330 0.500 0.340

Values from the calculation:
Formation energy, eV/atom: -0.514
Raw total energy, eV/atom: -3.41
Calculated volume, Å³/cell: 333
Mass density, g/cm³: 9.693
Magnetic moment, μB/atom: 0.00

---

[5]
Computed, not measured: a geometry-optimized LaPm5Dy4 structure at the PBE-GGA level of DFT.

Cell lengths 3.625, 10.226, 9.559 Å; angles 105.89, 100.89, 89.97 degrees
Element x y z (fractional)
La: 0.500 0.000 0.000
Pm: 0.700 0.600 0.400
Pm: 0.102 0.801 0.204
Pm: 0.898 0.199 0.796
Pm: 0.500 0.500 0.000
Pm: 0.300 0.400 0.600
Dy: 0.700 0.100 0.401
Dy: 0.102 0.301 0.202
Dy: 0.300 0.900 0.599
Dy: 0.898 0.699 0.798

Values from the calculation:
Formation energy, eV/atom: 0.016
Raw total energy, eV/atom: -4.69
Calculated volume, Å³/cell: 334
Mass density, g/cm³: 7.523
Magnetic moment, μB/atom: 0.00
Energy relative to the lowest polymorph listed for this composition, eV/f.u.: 0.00

---

[6]
Computed, not measured: a geometry-optimized Sc2VTcPt structure at the PBE-GGA level of DFT.

Cell lengths 4.898, 4.456, 4.898 Å; angles 90.00, 90.00, 90.00 degrees
Element x y z (fractional)
Sc: 0.000 0.000 0.500
Sc: 0.500 0.000 0.000
Tc: 0.000 0.000 0.000
Pt: 0.500 0.500 0.500
V: 0.000 0.500 0.000

Values from the calculation:
Formation energy, eV/atom: 0.389
Raw total energy, eV/atom: -7.25
Calculated volume, Å³/cell: 107
Mass density, g/cm³: 6.742
Magnetic moment, μB/atom: 0.33

---

[7]
Computed, not measured: a geometry-optimized TcBTe2N structure at the PBE-GGA level of DFT.

Cell lengths 5.373, 3.669, 5.373 Å; angles 90.00, 90.00, 90.00 degrees
Element x y z (fractional)
B: 0.500 0.500 0.500
Te: 0.000 0.000 0.500
Te: 0.500 0.000 0.000
Tc: 0.000 0.000 0.000
N: 0.000 0.500 0.000

Values from the calculation:
Formation energy from raw total energies, eV/atom: 1.06
Raw total energy, eV/atom: -5.27
Calculated volume, Å³/cell: 106
Mass density, g/cm³: 5.925
Magnetic moment, μB/atom: 0.00
Energy relative to the lowest polymorph listed for this composition, eV/f.u.: 1.94

---

[8]
Computed, not measured: a geometry-optimized NaSrAcAu structure at the PBE-GGA level of DFT.

Cell lengths 5.686, 5.686, 5.686 Å; angles 60.00, 60.00, 60.00 degrees
Element x y z (fractional)
Sr: 0.750 0.750 0.750
Ac: 0.250 0.250 0.250
Au: 0.500 0.500 0.500
Na: 0.000 0.000 0.000

Values from the calculation:
Formation energy, eV/atom: -0.227
Raw total energy, eV/atom: -2.82
Calculated volume, Å³/cell: 130
Mass density, g/cm³: 6.828
Magnetic moment, μB/atom: 0.00

---

[9]
Computed, not measured: a geometry-optimized CaPr2PdO6 structure at the PBE-GGA level of DFT.

Cell lengths 5.663, 5.980, 8.175 Å; angles 90.00, 90.48, 90.00 degrees
Element x y z (fractional)
Ca: 0.500 0.000 0.000
Ca: 0.000 0.500 0.500
Pr: 0.021 0.937 0.252
Pr: 0.521 0.563 0.752
Pr: 0.979 0.063 0.748
Pr: 0.479 0.437 0.248
Pd: 0.500 0.000 0.500
Pd: 0.000 0.500 0.000
O: 0.291 0.686 0.056
O: 0.791 0.814 0.556
O: 0.709 0.314 0.944
O: 0.209 0.186 0.444
O: 0.321 0.714 0.433
O: 0.821 0.786 0.933
O: 0.679 0.286 0.567
O: 0.179 0.214 0.067
O: 0.882 0.549 0.233
O: 0.382 0.951 0.733
O: 0.118 0.451 0.767
O: 0.618 0.049 0.267

Values from the calculation:
Formation energy from raw total energies, eV/atom: -2.40
Raw total energy, eV/atom: -7.05
Calculated volume, Å³/cell: 277
Mass density, g/cm³: 6.290
Magnetic moment, μB/atom: 0.00

---

[10]
Computed, not measured: a geometry-optimized Y5HfMg4 structure at the PBE-GGA level of DFT.

Cell lengths 3.561, 3.561, 21.668 Å; angles 90.00, 90.00, 90.00 degrees
Element x y z (fractional)
Y: 0.500 0.500 0.100
Y: 0.500 0.500 0.306
Y: 0.500 0.500 0.500
Y: 0.500 0.500 0.694
Y: 0.500 0.500 0.900
Hf: 0.000 0.000 0.000
Mg: 0.000 0.000 0.206
Mg: 0.000 0.000 0.403
Mg: 0.000 0.000 0.597
Mg: 0.000 0.000 0.794

Values from the calculation:
Formation energy, eV/atom: -0.039
Raw total energy, eV/atom: -4.90
Calculated volume, Å³/cell: 275
Mass density, g/cm³: 4.353
Magnetic moment, μB/atom: 0.02

---

[11]
Computed, not measured: a geometry-optimized Pm6Y16Ho7 structure at the PBE-GGA level of DFT.

Cell lengths 11.211, 11.211, 11.211 Å; angles 60.00, 60.00, 60.00 degrees
Element x y z (fractional)
Pm: 0.282 0.718 0.282
Pm: 0.718 0.282 0.718
Pm: 0.718 0.282 0.282
Pm: 0.282 0.718 0.718
Pm: 0.718 0.718 0.282
Pm: 0.282 0.282 0.718
Y: 0.878 0.878 0.366
Y: 0.878 0.878 0.878
Y: 0.878 0.366 0.878
Y: 0.366 0.878 0.878
Y: 0.122 0.122 0.122
Y: 0.122 0.122 0.634
Y: 0.122 0.634 0.122
Y: 0.634 0.122 0.122
Y: 0.654 0.654 0.038
Y: 0.654 0.654 0.654
Y: 0.654 0.038 0.654
Y: 0.038 0.654 0.654
Y: 0.346 0.346 0.346
Y: 0.346 0.346 0.962
Y: 0.346 0.962 0.346
Y: 0.962 0.346 0.346
Ho: 0.000 0.000 0.000
Ho: 0.500 0.000 0.500
Ho: 0.000 0.500 0.000
Ho: 0.000 0.500 0.500
Ho: 0.500 0.000 0.000
Ho: 0.000 0.000 0.500
Ho: 0.500 0.500 0.000

Values from the calculation:
Formation energy, eV/atom: 0.241
Raw total energy, eV/atom: -5.41
Calculated volume, Å³/cell: 996
Mass density, g/cm³: 5.745
Magnetic moment, μB/atom: 0.27

---

[12]
Computed, not measured: a geometry-optimized Be2AlRu2 structure at the PBE-GGA level of DFT.

Cell lengths 6.074, 6.074, 3.020 Å; angles 90.00, 90.00, 90.00 degrees
Element x y z (fractional)
Ru: 0.175 0.675 0.500
Ru: 0.675 0.825 0.500
Ru: 0.825 0.325 0.500
Ru: 0.325 0.175 0.500
Al: 0.000 0.000 0.000
Al: 0.500 0.500 0.000
Be: 0.380 0.880 0.000
Be: 0.880 0.620 0.000
Be: 0.620 0.120 0.000
Be: 0.120 0.380 0.000

Values from the calculation:
Formation energy, eV/atom: -0.573
Raw total energy, eV/atom: -6.52
Calculated volume, Å³/cell: 111
Mass density, g/cm³: 7.366
Magnetic moment, μB/atom: 0.00
Energy relative to the lowest polymorph listed for this composition, eV/f.u.: 0.00